1.
! LaNdBi4 (PBE-GGA, optimized geometry); values from VASP
! - Electronic total energy: -5.0058 eV/atom
! - Crystal system: orthorhombic
! - Magnetic moment: 0.00 μB per atom
&SYSTEM
  ibrav = 0, nat = 6, ntyp = 3
/
ATOMIC_SPECIES
Nd 144.24 Nd.upf
Bi 208.98 Bi.upf
La 138.91 La.upf
CELL_PARAMETERS angstrom
4.675 0.000 0.000
0.000 2.334 8.684
0.000 -2.334 8.684
ATOMIC_POSITIONS crystal
Nd 0.500 0.898 0.898
Bi 0.000 0.429 0.429
Bi 0.000 0.751 0.751
Bi 0.500 0.252 0.252
Bi 0.500 0.569 0.569
La 0.000 0.101 0.101

2.
! La5NdBi6 (PBE-GGA, optimized geometry); values from VASP
! - Electronic total energy: -5.5231 eV/atom
! - Crystal system: monoclinic
! - Magnetic moment: 0.00 μB per atom
&SYSTEM
  ibrav = 0, nat = 12, ntyp = 3
/
ATOMIC_SPECIES
Bi 208.98 Bi.upf
La 138.91 La.upf
Nd 144.24 Nd.upf
CELL_PARAMETERS angstrom
1.026 7.338 3.276
-7.413 -2.487 -2.121
1.133 -4.587 6.581
ATOMIC_POSITIONS crystal
Bi 0.917 0.586 0.752
Bi 0.414 0.083 0.248
Bi 0.586 0.917 0.752
Bi 0.752 0.752 0.249
Bi 0.083 0.414 0.248
Bi 0.248 0.248 0.751
La 0.500 0.500 0.500
La 0.833 0.167 0.500
La 0.667 0.333 0.000
La 0.167 0.833 0.500
La 0.333 0.667 0.000
Nd 0.000 0.000 0.000

3.
! LaNdBi2 (PBE-GGA, optimized geometry); values from VASP
! - Electronic total energy: -5.4629 eV/atom
! - Crystal system: trigonal
! - Magnetic moment: 0.00 μB per atom
&SYSTEM
  ibrav = 0, nat = 4, ntyp = 3
/
ATOMIC_SPECIES
Bi 208.98 Bi.upf
Nd 144.24 Nd.upf
La 138.91 La.upf
CELL_PARAMETERS angstrom
4.023 -2.324 0.000
4.023 2.324 0.000
-2.686 0.000 7.574
ATOMIC_POSITIONS crystal
Bi 0.251 0.251 0.254
Bi 0.749 0.749 0.746
Nd 0.000 0.000 0.500
La 0.500 0.500 0.000